(1)
# KGa2Au2

A geometry-optimized KGa2Au2 structure (PBE, Alexandria).

Properties
N(E_F) ... 1.53 states/eV/f.u.
Total energy ... -2.908 eV per atom
Theoretical density ... 9.1 g/cm³
Relative energy among the computed polymorphs ... 0.150 eV/atom
SG ... P4/mbm (127)

Cell: 8.575 8.575 2.841 Å, 90.00 90.00 90.00°
Fractional coordinates of all 10 atoms:
Au: 0.844 0.656 0.000
Au: 0.156 0.344 0.000
Au: 0.344 0.844 0.000
Au: 0.656 0.156 0.000
K: 0.500 0.500 0.000
K: 0.000 0.000 0.000
Ga: 0.366 0.134 0.500
Ga: 0.634 0.866 0.500
Ga: 0.866 0.366 0.500
Ga: 0.134 0.634 0.500

***

(2)
# P2PtAu

A geometry-optimized P2PtAu structure (PBE, Alexandria).

Properties
N(E_F) ... 2.42 states/eV/f.u.
Total energy ... -5.123 eV per atom
Theoretical density ... 10.7 g/cm³
Relative energy among the computed polymorphs ... 0.107 eV/atom
SG ... P2/m (10)

Cell: 3.572 4.391 4.578 Å, 78.60 90.00 90.00°
Fractional coordinates of all 4 atoms:
Pt: 0.500 0.250 0.250
P: 0.000 0.542 0.423
P: 0.000 0.958 0.077
Au: 0.500 0.750 0.750